First-principles (PBE) data for a relaxed structure of Nd2Ta2O7, as listed in Alexandria via LeMat-Bulk.

- energy relative to the elements, uncorrected (eV per atom) = -2.86
- total magnetic moment (μB/cell) = 0.0
- offset from the most stable computed form (meV per atom) = 92
- E (eV per atom) = -9.0384

Cell: 5.964 5.964 5.475 Å, 99.76 99.76 101.66°
Atoms (fractional coordinates):
Nd 0.204 0.796 0.000
Nd 0.796 0.204 0.000
Ta 0.278 0.278 0.611
Ta 0.722 0.722 0.389
O 0.053 0.399 0.760
O 0.119 0.119 0.269
O 0.399 0.053 0.760
O 0.500 0.500 0.500
O 0.601 0.947 0.240
O 0.881 0.881 0.731
O 0.947 0.601 0.240